The following is a PBE-GGA calculation of crystalline BaLiFe2 at its relaxed geometry, from Alexandria via LeMat-Bulk.

Energy above the lowest structure with this stoichiometry = 266.8 meV per atom
ΔE_f = 760 meV per atom

Cell lengths 4.861, 4.861, 6.849 Å; angles 90.00, 90.00, 90.00 degrees
Space group I-4m2 (No. 119)
One atom of each set of equivalent atoms:
Ba (0.000, 0.000, 0.000) (multiplicity 2)
Li (0.000, 0.500, 0.250) (multiplicity 2)
Fe (0.000, 0.000, 0.500) (multiplicity 2)
Fe (0.000, 0.500, 0.750) (multiplicity 2)